Entry 1:
The following is a PBE-GGA calculation of an optimized crystal structure of Ca2SmBi3, from the Alexandria database.

The structure in POSCAR format:
```
Ca2SmBi3
1.0
-0.0250 2.1559 3.1009
-6.5009 -0.8405 0.5320
4.4778 -7.1786 2.7269
Ca Sm Bi
2 1 3
direct
0.6665 0.1665 0.3330 Ca
0.3335 0.8335 0.6670 Ca
0.0000 0.5000 0.0000 Sm
0.3342 0.3342 0.6684 Bi
0.0000 0.0000 0.0000 Bi
0.6658 0.6658 0.3316 Bi
```

Values from the calculation:
**Formation enthalpy at 0 K**: -0.71 eV/atom

Entry 2:
The following is a PBE-GGA calculation of an optimized crystal structure of CaSm5Bi6, from the Alexandria database.

The structure in POSCAR format:
```
CaSm5Bi6
1.0
-6.6696 2.6898 -3.3042
-4.7151 -6.1018 -1.7699
-5.2534 -2.6123 5.3176
Ca Sm Bi
1 5 6
direct
0.0000 0.0000 0.0000 Ca
0.5000 0.1658 0.6684 Sm
0.0000 0.3329 0.3343 Sm
0.5000 0.5000 0.0000 Sm
0.0000 0.6671 0.6657 Sm
0.5000 0.8342 0.3316 Sm
0.7491 0.0839 0.3357 Bi
0.2509 0.5804 0.3357 Bi
0.2509 0.2522 0.0000 Bi
0.7491 0.7478 0.0000 Bi
0.7491 0.4196 0.6643 Bi
0.2509 0.9161 0.6643 Bi
```

Values from the calculation:
**Formation enthalpy at 0 K**: -0.88 eV/atom

Entry 3:
The following is a PBE-GGA calculation of an optimized crystal structure of CaSm3Bi2, from the Alexandria database.

The structure in POSCAR format:
```
CaSm3Bi2
1.0
-3.4057 -2.8608 -0.7959
8.3584 -6.7197 1.2133
-5.3462 4.2370 7.6466
Ca Sm Bi
2 6 4
direct
0.8908 0.7816 0.8897 Ca
0.1092 0.2184 0.1103 Ca
0.3105 0.6211 0.5080 Sm
0.9437 0.8873 0.5586 Sm
0.6462 0.2924 0.8157 Sm
0.3538 0.7076 0.1843 Sm
0.0563 0.1127 0.4414 Sm
0.6895 0.3789 0.4920 Sm
0.4948 0.9897 0.8248 Bi
0.5052 0.0103 0.1752 Bi
0.7517 0.5034 0.2198 Bi
0.2483 0.4966 0.7802 Bi
```

Values from the calculation:
**Formation enthalpy at 0 K**: -0.53 eV/atom
**Energy relative to the lowest polymorph listed for this composition**: 86 meV per atom

Entry 4:
The following is a PBE-GGA calculation of an optimized crystal structure of CaSm3Bi2, from the Alexandria database.

The structure in POSCAR format:
```
CaSm3Bi2
1.0
-3.2682 3.1395 0.9780
-0.0483 -1.4245 4.4116
6.3143 5.9527 1.9913
Ca Sm Bi
1 3 2
direct
0.5000 0.5000 0.0000 Ca
0.5000 0.0000 0.3507 Sm
0.0000 0.5000 0.6493 Sm
0.0000 0.0000 0.0000 Sm
0.5000 0.0000 0.7171 Bi
0.0000 0.5000 0.2829 Bi
```

Values from the calculation:
**Formation enthalpy at 0 K**: -0.61 eV/atom
**Energy relative to the lowest polymorph listed for this composition**: 0 meV per atom

Entry 5:
The following is a PBE-GGA calculation of an optimized crystal structure of CaSm2Bi3, from the Alexandria database.

The structure in POSCAR format:
```
CaSm2Bi3
1.0
4.5031 0.0000 0.0000
0.0000 6.4803 0.0000
-2.2515 -3.2402 6.9870
Ca Sm Bi
1 2 3
direct
0.0000 0.5000 0.0000 Ca
0.6655 0.1655 0.3309 Sm
0.3345 0.8345 0.6691 Sm
0.3289 0.3289 0.6579 Bi
0.0000 0.0000 0.0000 Bi
0.6711 0.6711 0.3421 Bi
```

Values from the calculation:
**Formation enthalpy at 0 K**: -0.82 eV/atom

Entry 6:
The following is a PBE-GGA calculation of an optimized crystal structure of CaSmBi, from the Alexandria database.

The structure in POSCAR format:
```
CaSmBi
1.0
-1.5902 -1.6481 3.6007
-1.1180 -4.3983 -2.5069
4.6115 0.5731 2.2990
Ca Bi Sm
1 1 1
direct
0.4227 0.3333 0.6667 Ca
0.6129 0.6667 0.3333 Bi
0.9644 0.0000 0.0000 Sm
```

Values from the calculation:
**Formation enthalpy at 0 K**: -0.37 eV/atom

Entry 7:
The following is a PBE-GGA calculation of an optimized crystal structure of CaSm5Bi4, from the Alexandria database.

The structure in POSCAR format:
```
CaSm5Bi4
1.0
4.4990 0.0000 0.0000
0.0000 7.7431 -2.2019
-2.2495 -3.1145 11.1463
Ca Sm Bi
1 5 4
direct
0.5000 0.0000 0.0000 Ca
0.8161 0.7175 0.6323 Sm
0.8080 0.2288 0.6160 Sm
0.1920 0.7712 0.3840 Sm
0.5000 0.5000 0.0000 Sm
0.1839 0.2825 0.3677 Sm
0.3601 0.0520 0.7201 Bi
0.9398 0.6572 0.8797 Bi
0.6399 0.9480 0.2799 Bi
0.0602 0.3428 0.1203 Bi
```

Values from the calculation:
**Formation enthalpy at 0 K**: -0.60 eV/atom

Entry 8:
The following is a PBE-GGA calculation of an optimized crystal structure of CaSmSnBi, from the Alexandria database.

The structure in POSCAR format:
```
CaSmSnBi
1.0
5.5438 0.0000 0.0000
2.7719 4.8011 0.0000
2.7719 1.6004 4.5265
Ca Bi Sm Sn
1 1 1 1
direct
0.0000 0.0000 0.0000 Ca
0.7500 0.7500 0.7500 Bi
0.5000 0.5000 0.5000 Sm
0.2500 0.2500 0.2500 Sn
```

Values from the calculation:
**Formation enthalpy at 0 K**: -0.58 eV/atom

Entry 9:
The following is a PBE-GGA calculation of an optimized crystal structure of CaTbSm2Bi4, from the Alexandria database.

The structure in POSCAR format:
```
CaTbSm2Bi4
1.0
4.5292 0.0000 0.0000
0.0000 7.8939 -0.1689
0.0000 2.7661 7.4265
Ca Tb Sm Bi
1 1 2 4
direct
0.0000 0.5000 0.5000 Ca
0.5000 0.5000 0.0000 Tb
0.0000 0.0000 0.0000 Sm
0.5000 0.0000 0.5000 Sm
0.0000 0.7476 0.7536 Bi
0.0000 0.2524 0.2464 Bi
0.5000 0.7507 0.2462 Bi
0.5000 0.2493 0.7538 Bi
```

Values from the calculation:
**Formation enthalpy at 0 K**: -0.84 eV/atom

Entry 10:
The following is a PBE-GGA calculation of an optimized crystal structure of CaSmTh2Bi4, from the Alexandria database.

The structure in POSCAR format:
```
CaSmTh2Bi4
1.0
-0.0262 3.5407 2.9359
-5.5599 3.6240 -4.4201
-3.5047 -4.5525 5.4592
Ca Sm Th Bi
1 1 2 4
direct
0.5000 0.5000 0.0000 Ca
0.0000 0.0000 0.0000 Sm
0.5000 0.0000 0.5000 Th
0.0000 0.5000 0.5000 Th
0.5000 0.2493 0.2477 Bi
0.5000 0.7507 0.7523 Bi
0.0000 0.2498 0.7503 Bi
0.0000 0.7502 0.2497 Bi
```

Values from the calculation:
**Formation enthalpy at 0 K**: -0.76 eV/atom

Entry 11:
The following is a PBE-GGA calculation of an optimized crystal structure of Ca2SmThBi4, from the Alexandria database.

The structure in POSCAR format:
```
Ca2SmThBi4
1.0
4.6143 0.0000 0.0000
0.0000 7.9910 0.1333
0.0000 -2.7951 7.4726
Ca Sm Th Bi
2 1 1 4
direct
0.5000 0.0000 0.5000 Ca
0.0000 0.5000 0.5000 Ca
0.0000 0.0000 0.0000 Sm
0.5000 0.5000 0.0000 Th
0.5000 0.2475 0.2451 Bi
0.5000 0.7525 0.7549 Bi
0.0000 0.2504 0.7538 Bi
0.0000 0.7496 0.2462 Bi
```

Values from the calculation:
**Formation enthalpy at 0 K**: -0.76 eV/atom

Entry 12:
The following is a PBE-GGA calculation of an optimized crystal structure of Ca3SmTh2Bi6, from the Alexandria database.

The structure in POSCAR format:
```
Ca3SmTh2Bi6
1.0
-0.5922 -1.9825 7.7417
-5.7710 -2.1367 -5.1327
5.7202 -5.0613 -2.2403
Ca Sm Th Bi
3 1 2 6
direct
0.1666 0.8334 0.5000 Ca
0.8334 0.1666 0.5000 Ca
0.5000 0.5000 0.5000 Ca
0.0000 0.0000 0.0000 Sm
0.3333 0.6667 0.0000 Th
0.6667 0.3333 0.0000 Th
0.9181 0.5850 0.7541 Bi
0.7489 0.7489 0.2464 Bi
0.0819 0.4150 0.2459 Bi
0.5850 0.9181 0.7541 Bi
0.2511 0.2511 0.7536 Bi
0.4150 0.0819 0.2459 Bi
```

Values from the calculation:
**Formation enthalpy at 0 K**: -0.75 eV/atom

Entry 13:
The following is a PBE-GGA calculation of an optimized crystal structure of CaSm2Tm3Bi6, from the Alexandria database.

The structure in POSCAR format:
```
CaSm2Tm3Bi6
1.0
-0.8770 -3.9958 1.8713
8.0572 0.1416 4.0784
-5.5010 6.3533 5.5810
Ca Sm Tm Bi
1 2 3 6
direct
0.5000 0.0000 0.0000 Ca
0.8344 0.6693 0.6688 Sm
0.1656 0.3307 0.3312 Sm
0.5000 0.5000 0.0000 Tm
0.8341 0.1666 0.6682 Tm
0.1659 0.8334 0.3318 Tm
0.3305 0.9216 0.6611 Bi
0.6653 0.5873 0.3305 Bi
0.6695 0.0784 0.3389 Bi
0.9978 0.2575 0.9955 Bi
0.0022 0.7425 0.0045 Bi
0.3347 0.4127 0.6695 Bi
```

Values from the calculation:
**Formation enthalpy at 0 K**: -0.81 eV/atom

Entry 14:
The following is a PBE-GGA calculation of an optimized crystal structure of CaSm2TmBi4, from the Alexandria database.

The structure in POSCAR format:
```
CaSm2TmBi4
1.0
-2.9501 2.2928 2.5421
-0.1158 -5.8934 5.1811
5.6167 1.1987 5.4372
Ca Sm Tm Bi
1 2 1 4
direct
0.0000 0.5000 0.5000 Ca
0.0000 0.0000 0.0000 Sm
0.5000 0.0000 0.5000 Sm
0.5000 0.5000 0.0000 Tm
0.0000 0.7444 0.7563 Bi
0.0000 0.2556 0.2437 Bi
0.5000 0.7487 0.2450 Bi
0.5000 0.2513 0.7550 Bi
```

Values from the calculation:
**Formation enthalpy at 0 K**: -0.81 eV/atom

Entry 15:
The following is a PBE-GGA calculation of an optimized crystal structure of CaSm2Y3Bi6, from the Alexandria database.

The structure in POSCAR format:
```
CaSm2Y3Bi6
1.0
4.5253 0.0000 0.0000
0.0000 9.0708 0.3125
-2.2627 -2.6256 9.5330
Ca Sm Y Bi
1 2 3 6
direct
0.5000 0.0000 0.0000 Ca
0.8342 0.6689 0.6684 Sm
0.1658 0.3311 0.3316 Sm
0.5000 0.5000 0.0000 Y
0.8340 0.1663 0.6681 Y
0.1660 0.8337 0.3319 Y
0.3314 0.9191 0.6628 Bi
0.6660 0.5854 0.3320 Bi
0.6686 0.0809 0.3372 Bi
0.9988 0.2554 0.9976 Bi
0.0012 0.7446 0.0024 Bi
0.3340 0.4146 0.6680 Bi
```

Values from the calculation:
**Formation enthalpy at 0 K**: -0.87 eV/atom

Entry 16:
The following is a PBE-GGA calculation of an optimized crystal structure of CaSm2YBi4, from the Alexandria database.

The structure in POSCAR format:
```
CaSm2YBi4
1.0
4.5278 0.0000 0.0000
0.0000 7.8865 -0.1670
0.0000 2.7644 7.4283
Ca Sm Y Bi
1 2 1 4
direct
0.5000 0.5000 0.0000 Ca
0.0000 0.0000 0.0000 Sm
0.5000 0.0000 0.5000 Sm
0.0000 0.5000 0.5000 Y
0.0000 0.7505 0.7460 Bi
0.0000 0.2495 0.2540 Bi
0.5000 0.7473 0.2539 Bi
0.5000 0.2527 0.7461 Bi
```

Values from the calculation:
**Formation enthalpy at 0 K**: -0.84 eV/atom

Entry 17:
The following is a PBE-GGA calculation of an optimized crystal structure of CaSmZnBi, from the Alexandria database.

The structure in POSCAR format:
```
CaSmZnBi
1.0
-0.4259 -0.1181 5.3795
4.4442 -0.2275 3.0547
1.4902 4.2880 2.9200
Zn Ca Bi Sm
1 1 1 1
direct
0.0000 0.0000 0.0000 Zn
0.7500 0.7500 0.7500 Ca
0.5000 0.5000 0.5000 Bi
0.2500 0.2500 0.2500 Sm
```

Values from the calculation:
**Formation enthalpy at 0 K**: -0.43 eV/atom

Entry 18:
The following is a PBE-GGA calculation of an optimized crystal structure of Ca2SnBi3, from the Alexandria database.

The structure in POSCAR format:
```
Ca2SnBi3
1.0
3.7094 0.0000 0.0000
0.0000 6.5384 0.0000
-1.8547 -3.2692 8.1851
Ca Sn Bi
2 1 3
direct
0.6684 0.1684 0.3368 Ca
0.3316 0.8316 0.6632 Ca
0.0000 0.5000 0.0000 Sn
0.3395 0.3395 0.6789 Bi
0.0000 0.0000 0.0000 Bi
0.6605 0.6605 0.3211 Bi
```

Values from the calculation:
**Formation enthalpy at 0 K**: -0.36 eV/atom
**Energy relative to the lowest polymorph listed for this composition**: 72 meV per atom

Entry 19:
The following is a PBE-GGA calculation of an optimized crystal structure of Ca2Sn3Bi3, from the Alexandria database.

The structure in POSCAR format:
```
Ca2Sn3Bi3
1.0
4.2657 0.0000 0.0000
0.0000 7.0889 -4.0896
0.0000 -0.0018 8.1839
Ca Sn Bi
2 3 3
direct
0.0000 0.6666 0.3334 Ca
0.0000 0.3334 0.6666 Ca
0.0000 0.0000 0.7825 Sn
0.0000 0.7825 0.0000 Sn
0.0000 0.2174 0.2174 Sn
0.5000 0.0000 0.3520 Bi
0.5000 0.3520 0.0000 Bi
0.5000 0.6481 0.6481 Bi
```

Values from the calculation:
**Formation enthalpy at 0 K**: -0.32 eV/atom

Entry 20:
The following is a PBE-GGA calculation of an optimized crystal structure of Ca3SnBi4, from the Alexandria database.

The structure in POSCAR format:
```
Ca3SnBi4
1.0
-0.4059 -6.3976 1.7148
3.3409 -1.7109 -5.5923
9.6572 0.8629 5.5054
Ca Sn Bi
6 2 8
direct
0.4482 0.9704 0.0000 Ca
0.1995 0.6380 0.2602 Ca
0.6995 0.3620 0.2398 Ca
0.9482 0.0296 0.5000 Ca
0.6995 0.3620 0.7602 Ca
0.1995 0.6380 0.7398 Ca
0.9358 0.0411 0.0000 Sn
0.4358 0.9589 0.5000 Sn
0.9346 0.5806 0.0000 Bi
0.4343 0.4812 0.0000 Bi
0.1817 0.1261 0.2358 Bi
0.6817 0.8739 0.2642 Bi
0.9343 0.5188 0.5000 Bi
0.4346 0.4194 0.5000 Bi
0.6817 0.8739 0.7358 Bi
0.1817 0.1261 0.7642 Bi
```

Values from the calculation:
**Formation enthalpy at 0 K**: -0.55 eV/atom